Entry 1:
Entry from Alexandria: a geometry-optimized FePW3 structure (PBE).

Cell: 4.3949 4.3949 4.3949 Å, 90.00 90.00 90.00°
Last column: nearest neighbours and their distance in Å.
Space group Pm-3m (No. 221)
Asymmetric unit:
1 Fe 0.0000 0.0000 0.0000 (multiplicity 1)  12 W 3.11
2 P 0.5000 0.5000 0.5000 (multiplicity 1)  6 W 2.20
3 W 0.0000 0.5000 0.5000 (multiplicity 3)  2 P 2.20

---

Entry 2:
Entry from Alexandria: a geometry-optimized FeP2W structure (PBE).

Cell: 8.2272 3.0693 4.2456 Å, 90.00 105.65 90.00°
Last column: nearest neighbours and their distance in Å.
Space group Cm (No. 8)
Asymmetric unit:
1 Fe 0.0000 0.0000 0.0000 (multiplicity 2)  5 P 2.36-2.46
2 P 0.2310 0.5000 0.1000 (multiplicity 2)  3 Fe 2.36-2.39, 4 W 2.62
3 P 0.4910 0.0000 0.4468 (multiplicity 2)  3 W 2.41-2.43, 2 Fe 2.46
4 W 0.2290 0.0000 0.5982 (multiplicity 2)  7 P 2.41-2.62

---

Entry 3:
Entry from Alexandria: a geometry-optimized FePW2 structure (PBE).

Cell: 3.1776 4.3965 7.9704 Å, 90.00 90.00 90.00°
Last column: nearest neighbours and their distance in Å.
Space group Immm (No. 71)
Asymmetric unit:
1 Fe 0.0000 0.0000 0.0000 (multiplicity 2)  8 W 2.65-2.88, 4 P 2.71
2 P 0.0000 0.0000 0.5000 (multiplicity 2)  4 W 2.45, 4 Fe 2.71
3 W 0.0000 0.5000 0.2342 (multiplicity 4)  2 P 2.45, 2 Fe 2.65, 4 W 2.72

---

no.,formation energy (kcal/mol of atoms),VASP energy (eV per atom)
1,28.7,-9.303
2,-4.3,-8.246
3,3.2,-9.805